This record from Alexandria describes a relaxed CaAlTc crystal. The functional is PBE-GGA.

Lattice parameters (Å, degrees): 4.7487 4.7487 4.7487 60.00 60.00 60.00
Closest atoms and distances in Å follow each position.
Positions (direct):
Al  0.5000  0.5000  0.5000  4 Ca 2.91
Tc  0.0000  0.0000  0.0000  4 Ca 2.91
Ca  0.7500  0.7500  0.7500  4 Al 2.91, 4 Tc 2.91

This record from Alexandria describes a relaxed CaAl2Tc crystal. The functional is PBE-GGA.

Lattice parameters (Å, degrees): 4.2188 4.2186 4.1270 90.00 90.00 90.00
Closest atoms and distances in Å follow each position.
Positions (direct):
Tc  0.0000  0.5000  0.5000  8 Al 2.95, 4 Ca 2.98
Al  0.5000  0.5000  0.0000  4 Ca 2.95, 4 Tc 2.95, 4 Al 2.98
Al  0.0000  0.0000  0.0000  4 Tc 2.95, 4 Ca 2.95, 4 Al 2.98
Ca  0.5000  0.0000  0.5000  8 Al 2.95, 4 Tc 2.98

This record from Alexandria describes a relaxed CaAlTc crystal. The functional is PBE-GGA.

Lattice parameters (Å, degrees): 4.5147 4.5147 4.5147 60.00 60.00 60.00
Closest atoms and distances in Å follow each position.
Positions (direct):
Ca  0.5000  0.5000  0.5000  4 Tc 2.76
Tc  0.7500  0.7500  0.7500  4 Ca 2.76, 4 Al 2.76
Al  0.0000  0.0000  0.0000  4 Tc 2.76

This record from Alexandria describes a relaxed Ca2Al2Tc crystal. The functional is PBE-GGA.

Lattice parameters (Å, degrees): 6.8017 6.8017 4.9806 90.00 90.00 90.00
Closest atoms and distances in Å follow each position.
Positions (direct):
Al  0.8525  0.6475  0.0000  2 Tc 2.60, 1 Al 2.84
Al  0.3525  0.8525  0.0000  2 Tc 2.60, 1 Al 2.84
Al  0.6475  0.1475  0.0000  2 Tc 2.60, 1 Al 2.84
Al  0.1475  0.3525  0.0000  2 Tc 2.60, 1 Al 2.84
Tc  0.0000  0.0000  0.0000  4 Al 2.60
Tc  0.5000  0.5000  0.0000  4 Al 2.60
Ca  0.3223  0.1777  0.5000  6 Al 3.00-3.34
Ca  0.6777  0.8223  0.5000  6 Al 3.00-3.34
Ca  0.1777  0.6777  0.5000  6 Al 3.00-3.34
Ca  0.8223  0.3223  0.5000  6 Al 3.00-3.34

This record from Alexandria describes a relaxed CaAlTc crystal. The functional is PBE-GGA.

Lattice parameters (Å, degrees): 5.7672 5.7673 3.4407 72.64 72.65 34.71
Closest atoms and distances in Å follow each position.
Positions (direct):
Al  0.0534  0.0534  0.9466  4 Tc 2.52-2.53
Ca  0.3286  0.3286  0.6714  1 Al 2.88, 1 Tc 3.03
Tc  0.6180  0.6180  0.3820  4 Al 2.52-2.53

This record from Alexandria describes a relaxed CaAlTc2 crystal. The functional is PBE-GGA.

Lattice parameters (Å, degrees): 5.5345 5.5345 5.5345 146.85 129.34 61.89
Closest atoms and distances in Å follow each position.
Positions (direct):
Tc  0.9691  0.9691  0.0000  2 Tc 2.49
Tc  0.7660  0.2660  0.5000  2 Tc 2.49, 2 Al 2.77
Al  0.5259  0.5259  0.0000  6 Tc 2.77-2.90
Ca  0.2390  0.7390  0.5000  6 Tc 2.86-3.01, 4 Al 3.11-3.15, 2 Ca 3.16

Energy of formation in eV per atom, matching the order above: 1.36 0.17 0.58 0.10 0.02 0.23